(1)
CrHgPt2: optimized geometry, PBE-GGA.

Results
For the total magnetic moment, the calculation gives 4.0 μB/f.u. The total energy comes out at -21.72 eV per cell. The calculated formation energy is 71 meV/atom.

Geometry as extended XYZ:
```
4
Lattice="4.7400 0.0000 0.0000 0.0000 4.7400 0.0000 0.0000 0.0000 3.0111" Properties=species:S:1:pos:R:3 pbc="T T T"
Hg 0.0000 2.3700 1.5056
Pt 2.3700 2.3700 0.0000
Pt 0.0000 0.0000 0.0000
Cr 2.3700 0.0000 1.5056
```

=====

(2)
CrHgPt2: optimized geometry, PBE-GGA.

Results
For the total magnetic moment, the calculation gives 1.8 μB/f.u. The total energy comes out at -21.27 eV per cell. The calculated formation energy is 185 meV/atom.

Geometry as extended XYZ:
```
4
Lattice="-3.3088 -5.3397 6.9399 -0.8959 -4.4652 8.1781 -3.2348 -2.8429 8.3112" Properties=species:S:1:pos:R:3 pbc="T T T"
Hg -5.6034 -9.5263 17.6470
Cr -3.7582 -6.3892 11.8357
Pt -1.8188 -3.0922 5.7281
Pt -7.4182 -12.6116 23.3624
```

=====

(3)
CrHg2TePt: optimized geometry, PBE-GGA.

Results
For the total magnetic moment, the calculation gives 4.9 μB/f.u. Its energy relative to the elements, uncorrected is 2.505 eV per formula unit. The total energy comes out at -16.90 eV per cell.

Geometry as extended XYZ:
```
5
Lattice="-0.6894 3.7061 -3.5857 0.3310 -3.7313 -3.9201 -5.1470 -0.7173 0.2482" Properties=species:S:1:pos:R:3 pbc="T T T"
Te 0.1655 -1.8656 -1.9601
Hg -2.5735 -0.3586 0.1241
Hg -0.3447 1.8530 -1.7928
Pt 0.0000 0.0000 0.0000
Cr -2.7527 -0.3712 -3.6288
```